Entry from Alexandria: an optimized crystal structure of KCaZr2 (GGA-PBEsol).

a = 3.410 Å, b = 4.026 Å, c = 9.638 Å
α = 90.00°, β = 90.00°, γ = 90.00°
Atoms (fractional coordinates):
1 K 0.000 0.000 0.000
2 Ca 0.500 0.500 0.646
3 Zr 0.000 0.000 0.424
4 Zr 0.500 0.500 0.291

Properties
D(E_F) = 4.9 states/eV per cell
DFT formation energy = 1.792 eV per formula unit
Mass density = 3.28 g/cm3
Magnetization = 0.0 μB/f.u.
Raw total energy = -4.91 eV/atom

Entry from Alexandria: an optimized crystal structure of KCaZr2 (GGA-PBEsol).

a = 5.463 Å, b = 5.463 Å, c = 5.463 Å
α = 60.00°, β = 60.00°, γ = 60.00°
Atoms (fractional coordinates):
1 K 0.000 0.000 0.000
2 Ca 0.500 0.500 0.500
3 Zr 0.250 0.250 0.250
4 Zr 0.750 0.750 0.750

Properties
D(E_F) = 6.1 states/eV per cell
DFT formation energy = 4.741 eV per formula unit
Mass density = 3.77 g/cm3
Magnetization = 0.0 μB/f.u.
Raw total energy = -4.18 eV/atom

Entry from Alexandria: an optimized crystal structure of KCaZr2 (GGA-PBEsol).

a = 5.457 Å, b = 5.457 Å, c = 5.457 Å
α = 60.00°, β = 60.00°, γ = 60.00°
Atoms (fractional coordinates):
1 K 0.000 0.000 0.000
2 Ca 0.250 0.250 0.250
3 Zr 0.500 0.500 0.500
4 Zr 0.750 0.750 0.750

Properties
D(E_F) = 5.7 states/eV per cell
DFT formation energy = 3.676 eV per formula unit
Mass density = 3.78 g/cm3
Magnetization = 2.3 μB/f.u.
Raw total energy = -4.44 eV/atom

Entry from Alexandria: an optimized crystal structure of K2CaZr (GGA-PBEsol).

a = 6.146 Å, b = 6.146 Å, c = 6.146 Å
α = 60.00°, β = 60.00°, γ = 60.00°
Atoms (fractional coordinates):
1 K 0.000 0.000 0.000
2 K 0.250 0.250 0.250
3 Ca 0.750 0.750 0.750
4 Zr 0.500 0.500 0.500

Properties
D(E_F) = 8.8 states/eV per cell
DFT formation energy = 3.700 eV per formula unit
Mass density = 2.12 g/cm3
Magnetization = 3.9 μB/f.u.
Raw total energy = -2.45 eV/atom

Entry from Alexandria: an optimized crystal structure of KCaZr2 (GGA-PBEsol).

a = 7.050 Å, b = 7.050 Å, c = 7.050 Å
α = 153.17°, β = 134.56°, γ = 53.56°
Atoms (fractional coordinates):
1 K 0.000 0.000 0.000
2 Ca 0.500 0.500 0.000
3 Zr 0.256 0.756 0.500
4 Zr 0.744 0.244 0.500

Properties
D(E_F) = 6.9 states/eV per cell
DFT formation energy = 3.035 eV per formula unit
Mass density = 3.87 g/cm3
Magnetization = 0.0 μB/f.u.
Raw total energy = -4.60 eV/atom

Entry from Alexandria: an optimized crystal structure of KCaZr2 (GGA-PBEsol).

a = 12.383 Å, b = 12.383 Å, c = 12.383 Å
α = 15.69°, β = 15.69°, γ = 15.69°
Atoms (fractional coordinates):
1 K 0.000 0.000 0.000
2 Ca 0.233 0.233 0.233
3 Zr 0.488 0.488 0.488
4 Zr 0.758 0.758 0.758

Properties
D(E_F) = 4.3 states/eV per cell
DFT formation energy = 1.676 eV per formula unit
Mass density = 3.59 g/cm3
Magnetization = 0.0 μB/f.u.
Raw total energy = -4.94 eV/atom

Which of these has the lowest mass density?
K2CaZr

Which formula does entry 3 have?
KCaZr2

Which value of magnetization does entry 1 give?
0.0 μB/f.u.